# 1
9
Lattice="-2.2590 0.7153 -6.7951 -0.0644 -5.7021 -4.3906 -7.0966 -1.6055 2.1902" Properties=species:S:1:pos:R:3 comment="RbAgHgBr6 (PBE-GGA, optimized geometry)" dos_ef_per_ev_atom=0.847 energy_ev_per_atom=-2.093 e_form_raw_ev_per_atom=-0.5204 sg="No. 149" pbc="T T T"
Br -5.9164 -0.9591 -1.0518
Br -6.4693 -2.8525 -4.2309
Br -5.1381 -4.6145 -1.2114
Br -3.4084 -0.1040 -3.5813
Br -2.9175 -3.6689 -4.6048
Br -2.0862 -2.5915 -1.1202
Rb -9.3554 -0.8903 -4.6047
Ag -4.3225 -2.4651 -2.6332
Hg -5.0971 -4.1273 -6.3619

# 2
19
Lattice="6.8367 -0.0063 -0.0056 0.8807 6.7798 -0.0056 0.8807 0.7730 6.7355" Properties=species:S:1:pos:R:3 comment="La2Zn15Ni2 (PBE-GGA, optimized geometry)" dos_ef_per_ev_atom=0.425 delta_e_f_kj_per_mol_atoms=-23.9 energy_ev_per_atom=-2.381 sg="No. 166" pbc="T T T"
Ni 0.8762 0.7691 0.6853
Ni 7.7219 6.7774 6.0391
Zn 0.4404 0.3865 3.3678
Zn 2.5414 4.8876 -0.0056
Zn 2.1819 4.9437 4.4051
Zn 0.8807 2.4478 4.8559
Zn 5.1760 0.2110 1.8740
Zn 5.1850 4.5508 1.0062
Zn 5.1760 1.8858 -0.0056
Zn 2.5414 0.5557 4.8559
Zn 3.4132 6.0243 2.3192
Zn 3.4132 2.9957 5.7182
Zn 6.4162 2.6028 2.3192
Zn 5.1850 1.5221 4.4051
Zn 0.8807 5.1049 1.8740
Zn 0.4404 3.3899 -0.0028
Zn 3.4184 -0.0031 -0.0028
La 5.7107 5.0121 4.4661
La 2.8875 2.5343 2.2582